BeCoI (PBE-GGA, relaxed); ΔE_f (raw) = 0.00 eV per atom; density of states at the Fermi level = 4.1 states/eV per cell; theoretical density = 5.819 g/cm³
1.0
3.8168 0.0000 0.0000
-1.9059 3.3254 0.0000
-0.0303 -1.8677 8.7621
Be Co I
2 2 2
Direct
0.0000 0.0000 0.0000 Be
0.3016 0.6047 0.8821 Be
0.6395 0.2805 0.9130 Co
0.9339 0.8707 0.7592 Co
0.5612 0.1278 0.6192 I
0.7881 0.5636 0.1979 I


BeCoI (PBE-GGA, relaxed); ΔE_f (raw) = 0.02 eV per atom; density of states at the Fermi level = 4.1 states/eV per cell; theoretical density = 5.773 g/cm³
1.0
3.7301 0.0000 0.0000
-1.8648 3.2307 0.0000
-0.0089 -0.0307 9.3019
Be Co I
2 2 2
Direct
0.0000 0.0000 0.0000 Be
0.3327 0.6659 0.8791 Be
0.6663 0.3329 0.9293 Co
0.9986 0.9981 0.7645 Co
0.3309 0.6633 0.6090 I
0.6689 0.3363 0.1941 I


BeCoI (PBE-GGA, relaxed); ΔE_f (raw) = 1.60 eV per atom; density of states at the Fermi level = 9.6 states/eV per cell; theoretical density = 4.726 g/cm³
1.0
4.0917 0.0000 0.0000
-2.0458 3.5435 0.0000
0.0000 0.0000 9.4441
Be Co I
2 2 2
Direct
0.3333 0.6667 0.2500 Be
0.6667 0.3333 0.7500 Be
0.0000 0.0000 0.0000 Co
0.0000 0.0000 0.5000 Co
0.0000 0.0000 0.2500 I
0.0000 0.0000 0.7500 I


BeCoI (PBE-GGA, relaxed); ΔE_f (raw) = 0.04 eV per atom; density of states at the Fermi level = 9.2 states/eV per cell; theoretical density = 5.421 g/cm³
1.0
5.0773 0.0000 0.0000
0.0000 5.3580 0.0000
-1.4533 0.0000 8.7751
Be Co I
4 4 4
Direct
0.0000 0.0000 0.0000 Be
0.0373 0.5000 0.0041 Be
0.5000 0.5000 0.0000 Be
0.5373 0.0000 0.0041 Be
0.2245 0.2368 0.8510 Co
0.2245 0.7632 0.8510 Co
0.7245 0.2632 0.8510 Co
0.7245 0.7368 0.8510 Co
0.3341 0.5000 0.2481 I
0.4366 0.0000 0.6435 I
0.8341 0.0000 0.2481 I
0.9366 0.5000 0.6435 I